[1]
# Ti3ZnW

A relaxed structure of Ti3ZnW (GGA-PBE, Alexandria).

Values from the calculation:
E above lowest polymorph	207	meV/atom
electronic total energy	-6.44	eV per atom
formation energy from the elements	1.147	eV/atom

a b c (Å): 4.554 4.554 4.554
angles (deg): 90.00 90.00 90.00
Space group Pm-3m (No. 221)
Unique sites:
Ti 0.000 0.000 0.500 (multiplicity 3)
Zn 0.000 0.000 0.000 (multiplicity 1)
W 0.500 0.500 0.500 (multiplicity 1)

=====

[2]
# Rb2Na4Li

A relaxed structure of Rb2Na4Li (GGA-PBE, Alexandria).

Values from the calculation:
electronic total energy	-1.19	eV per atom
formation energy from the elements	0.111	eV/atom

a b c (Å): 6.027 6.027 20.504
angles (deg): 90.00 90.00 90.00
Space group I4/mmm (No. 139)
Unique sites:
Rb 0.000 0.000 0.146 (multiplicity 4)
Na 0.000 0.000 0.351 (multiplicity 4)
Na 0.000 0.500 0.000 (multiplicity 4)
Li 0.000 0.000 0.500 (multiplicity 2)

=====

[3]
# LiIn2Re

A relaxed structure of LiIn2Re (GGA-PBE, Alexandria).

Values from the calculation:
E above lowest polymorph	596	meV/atom
electronic total energy	-4.13	eV per atom
formation energy from the elements	0.828	eV/atom

a b c (Å): 4.193 4.193 18.744
angles (deg): 90.00 90.00 90.00
Space group I-42d (No. 122)
Unique sites:
Li 0.000 0.000 0.000 (multiplicity 4)
In 0.243 0.250 0.625 (multiplicity 8)
Re 0.000 0.000 0.500 (multiplicity 4)

=====

[4]
# MoPC2

A relaxed structure of MoPC2 (GGA-PBE, Alexandria).

Values from the calculation:
electronic total energy	-8.09	eV per atom
formation energy from the elements	0.587	eV/atom

a b c (Å): 4.714 4.714 8.029
angles (deg): 90.00 90.00 90.00
Space group I-42d (No. 122)
Unique sites:
Mo 0.000 0.000 0.000 (multiplicity 4)
P 0.000 0.000 0.500 (multiplicity 4)
C 0.194 0.250 0.625 (multiplicity 8)

=====

[5]
# Zr2CoCu

A relaxed structure of Zr2CoCu (GGA-PBE, Alexandria).

Values from the calculation:
electronic total energy	-6.87	eV per atom
formation energy from the elements	0.203	eV/atom

a b c (Å): 3.2347 3.2347 23.9043
angles (deg): 90.00 90.00 120.00
Space group R3m (No. 160, hexagonal axes)
Unique sites:
Zr 0.0000 0.0000 0.0000 (multiplicity 3)
Zr 0.0000 0.0000 0.2226 (multiplicity 3)
Co 0.0000 0.0000 0.4854 (multiplicity 3)
Cu 0.0000 0.0000 0.7539 (multiplicity 3)

=====

[6]
# NbPt2Rh8

A relaxed structure of NbPt2Rh8 (GGA-PBE, Alexandria).

Values from the calculation:
electronic total energy	-7.26	eV per atom
formation energy from the elements	0.097	eV/atom

a b c (Å): 7.045 12.304 4.650
angles (deg): 90.00 121.59 90.00
Space group C2/m (No. 12)
Unique sites:
Nb 0.000 0.000 0.000 (multiplicity 2)
Pt 0.000 0.309 0.500 (multiplicity 4)
Rh 0.000 0.208 0.000 (multiplicity 4)
Rh 0.079 0.500 0.806 (multiplicity 4)
Rh 0.207 0.113 0.647 (multiplicity 8)

=====

[7]
# CeAlOs2

A relaxed structure of CeAlOs2 (GGA-PBE, Alexandria).

Values from the calculation:
E above lowest polymorph	0	meV/atom
electronic total energy	-8.21	eV per atom
formation energy from the elements	-0.178	eV/atom

a b c (Å): 4.5535 4.5535 14.2988
angles (deg): 90.00 90.00 120.00
Space group R-3m (No. 166, hexagonal axes)
Unique sites:
Ce 0.0000 0.0000 0.0000 (multiplicity 3)
Al 0.0000 0.0000 0.5000 (multiplicity 3)
Os 0.0000 0.0000 0.1768 (multiplicity 6)

=====

[8]
# TbPrCu2Se4

A relaxed structure of TbPrCu2Se4 (GGA-PBE, Alexandria).

Values from the calculation:
energy relative to the elements, uncorrected	-1.065	eV/atom
electronic total energy	-5.01	eV per atom

a b c (Å): 6.847 7.028 8.006
angles (deg): 90.00 90.00 90.00
Space group I222 (No. 23)
Unique sites:
Tb 0.000 0.000 0.000 (multiplicity 2)
Pr 0.000 0.000 0.500 (multiplicity 2)
Cu 0.000 0.500 0.343 (multiplicity 4)
Se 0.248 0.224 0.803 (multiplicity 8)

=====

[9]
# FeCo2Os2

A relaxed structure of FeCo2Os2 (GGA-PBE, Alexandria).

Values from the calculation:
electronic total energy	-8.68	eV per atom
formation energy from the elements	0.352	eV/atom

a b c (Å): 7.016 7.016 2.616
angles (deg): 90.00 90.00 90.00
Space group P4/mbm (No. 127)
Unique sites:
Fe 0.000 0.000 0.000 (multiplicity 2)
Co 0.118 0.382 0.000 (multiplicity 4)
Os 0.178 0.678 0.500 (multiplicity 4)

=====

[10]
# AcSnGe2

A relaxed structure of AcSnGe2 (GGA-PBE, Alexandria).

Values from the calculation:
E above lowest polymorph	102	meV/atom
electronic total energy	-4.63	eV per atom
formation energy from the elements	-0.296	eV/atom

a b c (Å): 4.366 4.522 12.042
angles (deg): 83.23 81.28 89.65
Space group P1 (No. 1)
Unique sites:
Ac 0.000 0.000 0.000 (multiplicity 1)
Ac 0.204 0.183 0.517 (multiplicity 1)
Sn 0.103 0.492 0.762 (multiplicity 1)
Sn 0.876 0.269 0.260 (multiplicity 1)
Ge 0.435 0.525 0.134 (multiplicity 1)
Ge 0.538 0.527 0.917 (multiplicity 1)
Ge 0.670 0.689 0.615 (multiplicity 1)
Ge 0.732 0.715 0.403 (multiplicity 1)

=====

[11]
# LuAu6

A relaxed structure of LuAu6 (GGA-PBE, Alexandria).

Values from the calculation:
electronic total energy	-2.91	eV per atom
formation energy from the elements	0.550	eV/atom

a b c (Å): 7.404 7.404 7.404
angles (deg): 90.00 90.00 90.00
Space group Im-3m (No. 229)
Unique sites:
Lu 0.000 0.000 0.000 (multiplicity 2)
Au 0.000 0.250 0.500 (multiplicity 12)

=====

[12]
# MgTe2SeI

A relaxed structure of MgTe2SeI (GGA-PBE, Alexandria).

Values from the calculation:
energy relative to the elements, uncorrected	0.328	eV/atom
E above lowest polymorph	68	meV/atom
electronic total energy	-2.25	eV per atom

a b c (Å): 5.556 5.556 5.307
angles (deg): 90.00 90.00 90.00
Space group P4/mmm (No. 123)
Unique sites:
Mg 0.000 0.000 0.000 (multiplicity 1)
Te 0.000 0.500 0.000 (multiplicity 2)
Se 0.500 0.500 0.500 (multiplicity 1)
I 0.000 0.000 0.500 (multiplicity 1)